A relaxed CaTe2O crystal, computed with PBE-GGA.

```
data_CaTe2O
_chemical_formula_sum 'Ca4 Te8 O4'
_space_group_name_H-M_alt 'I -4 2 d'
_space_group_IT_number 122
_space_group_name_Hall 'I -4 2bw'
_cell_length_a 6.426
_cell_length_b 6.426
_cell_length_c 11.587
_cell_angle_alpha 90.00
_cell_angle_beta 90.00
_cell_angle_gamma 90.00
loop_
_atom_site_label
_atom_site_fract_x
_atom_site_fract_y
_atom_site_fract_z
_atom_site_occupancy
Ca1 0.000 0.000 0.000 1
Te1 0.108 0.250 0.625 1
O1 0.000 0.000 0.500 1
```

## Properties
Calculated volume   29.9 Å³/atom
Formation energy without anion corrections   -571.6 meV/atom